Record 1
# Hf2AlI | the Alexandria database | PBEsol | optimized geometry
data_Hf2AlI
_chemical_formula_sum 'Hf2 Al1 I1'
_symmetry_space_group_name_H-M 'P 1'
_symmetry_Int_Tables_number 1
_symmetry_space_group_name_Hall 'P 1'
_cell_length_a 4.889
_cell_length_b 4.889
_cell_length_c 4.889
_cell_angle_alpha 60.00
_cell_angle_beta 60.00
_cell_angle_gamma 60.00
loop_
_atom_site_label
_atom_site_type_symbol
_atom_site_fract_x
_atom_site_fract_y
_atom_site_fract_z
I1 I 0.500 0.500 0.500
Hf1 Hf 0.250 0.250 0.250
Hf2 Hf 0.750 0.750 0.750
Al1 Al 0.000 0.000 0.000
# **SG**: Fm-3m (225)
# **Energy relative to the elements, uncorrected**: 154 meV per atom

=====

Record 2
# KInAu4 | the Alexandria database | PBEsol | optimized geometry
data_KInAu4
_chemical_formula_sum 'K1 In1 Au4'
_symmetry_space_group_name_H-M 'P 1'
_symmetry_Int_Tables_number 1
_symmetry_space_group_name_Hall 'P 1'
_cell_length_a 5.582
_cell_length_b 5.582
_cell_length_c 5.582
_cell_angle_alpha 60.00
_cell_angle_beta 60.00
_cell_angle_gamma 60.00
loop_
_atom_site_label
_atom_site_type_symbol
_atom_site_fract_x
_atom_site_fract_y
_atom_site_fract_z
Au1 Au 0.375 0.375 0.375
Au2 Au 0.375 0.375 0.875
Au3 Au 0.875 0.375 0.375
Au4 Au 0.375 0.875 0.375
In1 In 0.750 0.750 0.750
K1 K 0.000 0.000 0.000
# **SG**: F-43m (216)
# **E_form**: -141 meV/atom

=====

Record 3
# Li4Mn3Ni3W2O16 | the Alexandria database | PBEsol | optimized geometry
data_Li4Mn3Ni3W2O16
_chemical_formula_sum 'Li4 Mn3 Ni3 W2 O16'
_symmetry_space_group_name_H-M 'P 1'
_symmetry_Int_Tables_number 1
_symmetry_space_group_name_Hall 'P 1'
_cell_length_a 5.751
_cell_length_b 5.831
_cell_length_c 9.541
_cell_angle_alpha 91.07
_cell_angle_beta 90.00
_cell_angle_gamma 119.55
loop_
_atom_site_label
_atom_site_type_symbol
_atom_site_fract_x
_atom_site_fract_y
_atom_site_fract_z
Li1 Li 0.341 0.682 0.902
Li2 Li 0.006 0.011 0.988
Li3 Li 0.992 0.983 0.494
Li4 Li 0.658 0.317 0.409
Mn1 Mn 0.165 0.825 0.216
Mn2 Mn 0.659 0.825 0.216
Mn3 Mn 0.826 0.651 0.716
Ni1 Ni 0.173 0.345 0.214
Ni2 Ni 0.338 0.169 0.713
Ni3 Ni 0.831 0.169 0.713
W1 W 0.317 0.634 0.492
W2 W 0.666 0.333 0.985
O1 O 0.155 0.807 0.594
O2 O 0.475 0.950 0.343
O3 O 0.341 0.683 0.109
O4 O 0.999 0.997 0.304
O5 O 0.993 0.987 0.800
O6 O 0.652 0.807 0.594
O7 O 0.029 0.507 0.354
O8 O 0.478 0.507 0.354
O9 O 0.839 0.679 0.093
O10 O 0.164 0.327 0.592
O11 O 0.538 0.507 0.842
O12 O 0.969 0.507 0.842
O13 O 0.669 0.338 0.611
O14 O 0.353 0.200 0.085
O15 O 0.525 0.051 0.850
O16 O 0.847 0.200 0.085
# **SG**: Cm (8)
# **Energy relative to the elements, uncorrected**: -1674 meV per atom

=====

Record 4
# BaCoRu2 | the Alexandria database | PBEsol | optimized geometry
data_BaCoRu2
_chemical_formula_sum 'Ba1 Co1 Ru2'
_symmetry_space_group_name_H-M 'P 1'
_symmetry_Int_Tables_number 1
_symmetry_space_group_name_Hall 'P 1'
_cell_length_a 2.902
_cell_length_b 3.157
_cell_length_c 7.643
_cell_angle_alpha 90.00
_cell_angle_beta 90.00
_cell_angle_gamma 90.00
loop_
_atom_site_label
_atom_site_type_symbol
_atom_site_fract_x
_atom_site_fract_y
_atom_site_fract_z
Ru1 Ru 0.000 0.000 0.664
Ru2 Ru 0.000 0.000 0.336
Co1 Co 0.500 0.500 0.500
Ba1 Ba 0.500 0.500 0.000
# **SG**: Pmmm (47)
# **Excess energy over the best structure of this formula in the dataset**: 0.0906 eV/atom
# **E_form**: 765 meV/atom

=====

Record 5
# ZnCuAu2 | the Alexandria database | PBEsol | optimized geometry
data_ZnCuAu2
_chemical_formula_sum 'Zn1 Cu1 Au2'
_symmetry_space_group_name_H-M 'P 1'
_symmetry_Int_Tables_number 1
_symmetry_space_group_name_Hall 'P 1'
_cell_length_a 3.160
_cell_length_b 4.316
_cell_length_c 4.316
_cell_angle_alpha 87.12
_cell_angle_beta 90.00
_cell_angle_gamma 90.00
loop_
_atom_site_label
_atom_site_type_symbol
_atom_site_fract_x
_atom_site_fract_y
_atom_site_fract_z
Zn1 Zn 0.500 0.500 0.500
Au1 Au 0.000 0.500 0.000
Au2 Au 0.000 0.000 0.500
Cu1 Cu 0.500 0.000 0.000
# **SG**: Cmmm (65)
# **E_form**: -147 meV/atom

=====

Record 6
# BaCo2Pb | the Alexandria database | PBEsol | optimized geometry
data_BaCo2Pb
_chemical_formula_sum 'Ba1 Co2 Pb1'
_symmetry_space_group_name_H-M 'P 1'
_symmetry_Int_Tables_number 1
_symmetry_space_group_name_Hall 'P 1'
_cell_length_a 3.573
_cell_length_b 3.573
_cell_length_c 6.913
_cell_angle_alpha 90.00
_cell_angle_beta 90.00
_cell_angle_gamma 90.00
loop_
_atom_site_label
_atom_site_type_symbol
_atom_site_fract_x
_atom_site_fract_y
_atom_site_fract_z
Pb1 Pb 0.500 0.500 0.000
Co1 Co 0.000 0.000 0.838
Co2 Co 0.000 0.000 0.162
Ba1 Ba 0.500 0.500 0.500
# **SG**: P4/mmm (123)
# **Excess energy over the best structure of this formula in the dataset**: 0.0116 eV/atom
# **E_form**: 579 meV/atom

=====

Record 7
# CrFe2Tc | the Alexandria database | PBEsol | optimized geometry
data_CrFe2Tc
_chemical_formula_sum 'Cr1 Fe2 Tc1'
_symmetry_space_group_name_H-M 'P 1'
_symmetry_Int_Tables_number 1
_symmetry_space_group_name_Hall 'P 1'
_cell_length_a 2.474
_cell_length_b 4.042
_cell_length_c 4.775
_cell_angle_alpha 90.00
_cell_angle_beta 99.02
_cell_angle_gamma 90.00
loop_
_atom_site_label
_atom_site_type_symbol
_atom_site_fract_x
_atom_site_fract_y
_atom_site_fract_z
Cr1 Cr 0.257 0.500 0.760
Tc1 Tc 0.482 0.000 0.499
Fe1 Fe 0.994 0.000 0.002
Fe2 Fe 0.767 0.500 0.239
# **SG**: Pm (6)
# **E_form**: 107 meV/atom

=====

Record 8
# BeCo2As | the Alexandria database | PBEsol | optimized geometry
data_BeCo2As
_chemical_formula_sum 'Be1 Co2 As1'
_symmetry_space_group_name_H-M 'P 1'
_symmetry_Int_Tables_number 1
_symmetry_space_group_name_Hall 'P 1'
_cell_length_a 3.603
_cell_length_b 4.003
_cell_length_c 3.653
_cell_angle_alpha 117.14
_cell_angle_beta 90.00
_cell_angle_gamma 116.74
loop_
_atom_site_label
_atom_site_type_symbol
_atom_site_fract_x
_atom_site_fract_y
_atom_site_fract_z
Be1 Be 0.000 0.000 0.500
As1 As 0.500 0.000 0.000
Co1 Co 0.735 0.469 0.735
Co2 Co 0.265 0.531 0.265
# **SG**: Immm (71)
# **Excess energy over the best structure of this formula in the dataset**: 0.0000 eV/atom
# **E_form**: -248 meV/atom

=====

Record 9
# LiOs2Se | the Alexandria database | PBEsol | optimized geometry
data_LiOs2Se
_chemical_formula_sum 'Li1 Os2 Se1'
_symmetry_space_group_name_H-M 'P 1'
_symmetry_Int_Tables_number 1
_symmetry_space_group_name_Hall 'P 1'
_cell_length_a 2.873
_cell_length_b 3.879
_cell_length_c 5.101
_cell_angle_alpha 90.00
_cell_angle_beta 90.00
_cell_angle_gamma 90.00
loop_
_atom_site_label
_atom_site_type_symbol
_atom_site_fract_x
_atom_site_fract_y
_atom_site_fract_z
Li1 Li 0.500 0.500 0.500
Os1 Os 0.000 0.000 0.735
Os2 Os 0.000 0.000 0.265
Se1 Se 0.500 0.500 0.000
# **SG**: Pmmm (47)
# **Energy relative to the elements, uncorrected**: 695 meV per atom

=====

Record 10
# KY2Ag | the Alexandria database | PBEsol | optimized geometry
data_KY2Ag
_chemical_formula_sum 'K1 Y2 Ag1'
_symmetry_space_group_name_H-M 'P 1'
_symmetry_Int_Tables_number 1
_symmetry_space_group_name_Hall 'P 1'
_cell_length_a 3.594
_cell_length_b 3.594
_cell_length_c 11.414
_cell_angle_alpha 80.94
_cell_angle_beta 80.94
_cell_angle_gamma 60.00
loop_
_atom_site_label
_atom_site_type_symbol
_atom_site_fract_x
_atom_site_fract_y
_atom_site_fract_z
Ag1 Ag 0.491 0.491 0.528
K1 K 0.238 0.238 0.286
Y1 Y 0.011 0.011 0.966
Y2 Y 0.760 0.760 0.720
# **SG**: R3m (160)
# **E_form**: 186 meV/atom

=====

Record 11
# KSeCl2 | the Alexandria database | PBEsol | optimized geometry
data_KSeCl2
_chemical_formula_sum 'K1 Se1 Cl2'
_symmetry_space_group_name_H-M 'P 1'
_symmetry_Int_Tables_number 1
_symmetry_space_group_name_Hall 'P 1'
_cell_length_a 5.006
_cell_length_b 5.377
_cell_length_c 5.377
_cell_angle_alpha 93.52
_cell_angle_beta 115.55
_cell_angle_gamma 115.55
loop_
_atom_site_label
_atom_site_type_symbol
_atom_site_fract_x
_atom_site_fract_y
_atom_site_fract_z
K1 K 0.500 0.000 0.000
Se1 Se 0.500 0.500 0.500
Cl1 Cl 0.000 0.500 0.000
Cl2 Cl 0.000 0.000 0.500
# **SG**: C2/m (12)
# **Energy relative to the elements, uncorrected**: -668 meV per atom
# **Excess energy over the best structure of this formula in the dataset**: 0.1644 eV/atom

=====

Record 12
# TcPIr | the Alexandria database | PBEsol | optimized geometry
data_TcPIr
_chemical_formula_sum 'Tc1 P1 Ir1'
_symmetry_space_group_name_H-M 'P 1'
_symmetry_Int_Tables_number 1
_symmetry_space_group_name_Hall 'P 1'
_cell_length_a 2.810
_cell_length_b 2.810
_cell_length_c 6.175
_cell_angle_alpha 96.81
_cell_angle_beta 96.81
_cell_angle_gamma 118.63
loop_
_atom_site_label
_atom_site_type_symbol
_atom_site_fract_x
_atom_site_fract_y
_atom_site_fract_z
Ir1 Ir 0.014 0.014 0.029
P1 P 0.669 0.669 0.338
Tc1 Tc 0.316 0.316 0.633
# **SG**: Fmm2 (42)
# **E_form**: 215 meV/atom

=====

Record 13
# SrYAg2 | the Alexandria database | PBEsol | optimized geometry
data_SrYAg2
_chemical_formula_sum 'Sr1 Y1 Ag2'
_symmetry_space_group_name_H-M 'P 1'
_symmetry_Int_Tables_number 1
_symmetry_space_group_name_Hall 'P 1'
_cell_length_a 3.505
_cell_length_b 5.287
_cell_length_c 5.884
_cell_angle_alpha 104.96
_cell_angle_beta 107.33
_cell_angle_gamma 90.00
loop_
_atom_site_label
_atom_site_type_symbol
_atom_site_fract_x
_atom_site_fract_y
_atom_site_fract_z
Ag1 Ag 0.977 0.031 0.954
Ag2 Ag 0.277 0.730 0.553
Sr1 Sr 0.520 0.559 0.040
Y1 Y 0.726 0.179 0.452
# **SG**: Cm (8)
# **Excess energy over the best structure of this formula in the dataset**: 0.1084 eV/atom
# **E_form**: -125 meV/atom

=====

Record 14
# Co2MoOs | the Alexandria database | PBEsol | optimized geometry
data_Co2MoOs
_chemical_formula_sum 'Co2 Mo1 Os1'
_symmetry_space_group_name_H-M 'P 1'
_symmetry_Int_Tables_number 1
_symmetry_space_group_name_Hall 'P 1'
_cell_length_a 3.648
_cell_length_b 3.648
_cell_length_c 3.673
_cell_angle_alpha 90.00
_cell_angle_beta 90.00
_cell_angle_gamma 90.00
loop_
_atom_site_label
_atom_site_type_symbol
_atom_site_fract_x
_atom_site_fract_y
_atom_site_fract_z
Os1 Os 0.000 0.000 0.500
Mo1 Mo 0.500 0.500 0.500
Co1 Co 0.000 0.500 0.000
Co2 Co 0.500 0.000 0.000
# **SG**: P4/mmm (123)
# **Excess energy over the best structure of this formula in the dataset**: 0.0355 eV/atom
# **E_form**: -2 meV/atom

=====

Record 15
# YMnSbBr2 | the Alexandria database | PBEsol | optimized geometry
data_YMnSbBr2
_chemical_formula_sum 'Y1 Mn1 Sb1 Br2'
_symmetry_space_group_name_H-M 'P 1'
_symmetry_Int_Tables_number 1
_symmetry_space_group_name_Hall 'P 1'
_cell_length_a 4.682
_cell_length_b 4.682
_cell_length_c 6.301
_cell_angle_alpha 90.00
_cell_angle_beta 90.00
_cell_angle_gamma 90.00
loop_
_atom_site_label
_atom_site_type_symbol
_atom_site_fract_x
_atom_site_fract_y
_atom_site_fract_z
Y1 Y 0.000 0.000 0.500
Sb1 Sb 0.500 0.500 0.500
Mn1 Mn 0.000 0.000 0.000
Br1 Br 0.000 0.500 0.000
Br2 Br 0.500 0.000 0.000
# **SG**: P4/mmm (123)
# **Energy relative to the elements, uncorrected**: -108 meV per atom

=====

Record 16
# Sc2TcOs | the Alexandria database | PBEsol | optimized geometry
data_Sc2TcOs
_chemical_formula_sum 'Sc2 Tc1 Os1'
_symmetry_space_group_name_H-M 'P 1'
_symmetry_Int_Tables_number 1
_symmetry_space_group_name_Hall 'P 1'
_cell_length_a 4.498
_cell_length_b 4.498
_cell_length_c 4.498
_cell_angle_alpha 60.00
_cell_angle_beta 60.00
_cell_angle_gamma 60.00
loop_
_atom_site_label
_atom_site_type_symbol
_atom_site_fract_x
_atom_site_fract_y
_atom_site_fract_z
Os1 Os 0.500 0.500 0.500
Sc1 Sc 0.000 0.000 0.000
Sc2 Sc 0.250 0.250 0.250
Tc1 Tc 0.750 0.750 0.750
# **SG**: F-43m (216)
# **E_form**: -93 meV/atom

=====

Record 17
# Ta3BiIr | the Alexandria database | PBEsol | optimized geometry
data_Ta3BiIr
_chemical_formula_sum 'Ta3 Bi1 Ir1'
_symmetry_space_group_name_H-M 'P 1'
_symmetry_Int_Tables_number 1
_symmetry_space_group_name_Hall 'P 1'
_cell_length_a 4.862
_cell_length_b 4.862
_cell_length_c 4.862
_cell_angle_alpha 90.00
_cell_angle_beta 90.00
_cell_angle_gamma 90.00
loop_
_atom_site_label
_atom_site_type_symbol
_atom_site_fract_x
_atom_site_fract_y
_atom_site_fract_z
Ir1 Ir 0.000 0.000 0.000
Bi1 Bi 0.500 0.500 0.500
Ta1 Ta 0.000 0.500 0.000
Ta2 Ta 0.000 0.000 0.500
Ta3 Ta 0.500 0.000 0.000
# **SG**: Pm-3m (221)
# **E_form**: 938 meV/atom

=====

Record 18
# NiB2Mo2 | the Alexandria database | PBEsol | optimized geometry
data_NiB2Mo2
_chemical_formula_sum 'Ni2 B4 Mo4'
_symmetry_space_group_name_H-M 'P 1'
_symmetry_Int_Tables_number 1
_symmetry_space_group_name_Hall 'P 1'
_cell_length_a 3.188
_cell_length_b 5.640
_cell_length_c 5.640
_cell_angle_alpha 90.00
_cell_angle_beta 90.00
_cell_angle_gamma 90.00
loop_
_atom_site_label
_atom_site_type_symbol
_atom_site_fract_x
_atom_site_fract_y
_atom_site_fract_z
Ni1 Ni 0.000 0.000 0.000
Ni2 Ni 0.000 0.500 0.500
Mo1 Mo 0.500 0.178 0.678
Mo2 Mo 0.500 0.678 0.822
Mo3 Mo 0.500 0.822 0.322
Mo4 Mo 0.500 0.322 0.178
B1 B 0.000 0.387 0.887
B2 B 0.000 0.887 0.613
B3 B 0.000 0.613 0.113
B4 B 0.000 0.113 0.387
# **SG**: P4/mbm (127)
# **Excess energy over the best structure of this formula in the dataset**: 0.0615 eV/atom
# **E_form**: -496 meV/atom

=====

Record 19
# Li4V3Fe3Sb2O16 | the Alexandria database | PBEsol | optimized geometry
data_Li4V3Fe3Sb2O16
_chemical_formula_sum 'Li4 V3 Fe3 Sb2 O16'
_symmetry_space_group_name_H-M 'P 1'
_symmetry_Int_Tables_number 1
_symmetry_space_group_name_Hall 'P 1'
_cell_length_a 5.572
_cell_length_b 5.685
_cell_length_c 10.036
_cell_angle_alpha 90.00
_cell_angle_beta 89.87
_cell_angle_gamma 120.68
loop_
_atom_site_label
_atom_site_type_symbol
_atom_site_fract_x
_atom_site_fract_y
_atom_site_fract_z
Li1 Li 0.666 0.333 0.902
Li2 Li 0.991 0.996 0.991
Li3 Li 0.993 0.997 0.489
Li4 Li 0.330 0.665 0.395
V1 V 0.380 0.190 0.219
V2 V 0.195 0.375 0.713
V3 V 0.195 0.820 0.713
Fe1 Fe 0.817 0.168 0.222
Fe2 Fe 0.817 0.648 0.222
Fe3 Fe 0.637 0.819 0.706
Sb1 Sb 0.673 0.336 0.493
Sb2 Sb 0.325 0.663 0.010
O1 O 0.839 0.157 0.600
O2 O 0.963 0.482 0.331
O3 O 0.679 0.340 0.101
O4 O 0.993 0.997 0.308
O5 O 0.996 0.998 0.798
O6 O 0.839 0.682 0.600
O7 O 0.512 0.029 0.346
O8 O 0.512 0.483 0.346
O9 O 0.681 0.841 0.116
O10 O 0.322 0.161 0.596
O11 O 0.489 0.507 0.822
O12 O 0.489 0.982 0.822
O13 O 0.328 0.664 0.586
O14 O 0.159 0.311 0.118
O15 O 0.018 0.509 0.825
O16 O 0.159 0.849 0.118
# **SG**: Cm (8)
# **Energy relative to the elements, uncorrected**: -1853 meV per atom

=====

Record 20
# Ta5Mo3 | the Alexandria database | PBEsol | optimized geometry
data_Ta5Mo3
_chemical_formula_sum 'Ta5 Mo3'
_symmetry_space_group_name_H-M 'P 1'
_symmetry_Int_Tables_number 1
_symmetry_space_group_name_Hall 'P 1'
_cell_length_a 4.621
_cell_length_b 5.504
_cell_length_c 5.504
_cell_angle_alpha 108.45
_cell_angle_beta 90.00
_cell_angle_gamma 90.00
loop_
_atom_site_label
_atom_site_type_symbol
_atom_site_fract_x
_atom_site_fract_y
_atom_site_fract_z
Mo1 Mo 0.000 0.747 0.747
Mo2 Mo 0.500 0.500 0.500
Mo3 Mo 0.000 0.253 0.253
Ta1 Ta 0.500 0.000 0.000
Ta2 Ta 0.000 0.752 0.248
Ta3 Ta 0.500 0.500 0.000
Ta4 Ta 0.000 0.248 0.752
Ta5 Ta 0.500 0.000 0.500
# **SG**: Cmmm (65)
# **Excess energy over the best structure of this formula in the dataset**: 0.0502 eV/atom
# **E_form**: -82 meV/atom